1.
# TaCo28

A relaxed structure of TaCo28 (GGA-PBE, OQMD via LeMat-Bulk).

Lattice parameters (Å, degrees): 7.447 7.447 7.447 109.47 109.47 109.47
Fractional positions:
1 Ta 0.000 0.000 0.000
2 Co 0.000 0.000 0.636
3 Co 0.000 0.192 0.377
4 Co 0.000 0.377 0.192
5 Co 0.000 0.402 0.684
6 Co 0.000 0.636 0.000
7 Co 0.000 0.684 0.402
8 Co 0.185 0.808 0.808
9 Co 0.192 0.000 0.377
10 Co 0.192 0.377 0.000
11 Co 0.282 0.598 0.598
12 Co 0.316 0.316 0.718
13 Co 0.316 0.718 0.316
14 Co 0.364 0.364 0.364
15 Co 0.377 0.000 0.192
16 Co 0.377 0.192 0.000
17 Co 0.402 0.000 0.684
18 Co 0.402 0.684 0.000
19 Co 0.598 0.282 0.598
20 Co 0.598 0.598 0.282
21 Co 0.623 0.623 0.815
22 Co 0.623 0.815 0.623
23 Co 0.636 0.000 0.000
24 Co 0.684 0.000 0.402
25 Co 0.684 0.402 0.000
26 Co 0.718 0.316 0.316
27 Co 0.808 0.185 0.808
28 Co 0.808 0.808 0.185
29 Co 0.815 0.623 0.623

The magnetic moment is 43.86 μB per cell. For the uncorrected energy, the calculation gives -7.25 eV/atom. The calculation puts the energy of formation at 0.0182 eV per atom. Its space group is I-43m.

---

2.
# InCoTcPd

A relaxed structure of InCoTcPd (GGA-PBE, OQMD via LeMat-Bulk).

Lattice parameters (Å, degrees): 4.450 4.450 4.450 60.00 60.00 60.00
Fractional positions:
1 In 0.000 0.000 0.000
2 Co 0.250 0.250 0.250
3 Tc 0.500 0.500 0.500
4 Pd 0.750 0.750 0.750

The magnetic moment is 3.54 μB per cell. For the uncorrected energy, the calculation gives -6.14 eV/atom. Its space group is F-43m. The value obtained for the excess energy over the best structure of this formula in the dataset is 0.000 eV per atom.

---

3.
# Zr3P

A relaxed structure of Zr3P (GGA-PBE, OQMD via LeMat-Bulk).

Lattice parameters (Å, degrees): 10.842 10.842 5.377 90.00 90.00 90.00
Fractional positions:
1 Zr 0.035 0.929 0.235
2 Zr 0.071 0.535 0.735
3 Zr 0.113 0.277 0.029
4 Zr 0.143 0.835 0.713
5 Zr 0.165 0.643 0.213
6 Zr 0.223 0.113 0.471
7 Zr 0.277 0.387 0.471
8 Zr 0.335 0.857 0.213
9 Zr 0.357 0.665 0.713
10 Zr 0.387 0.223 0.029
11 Zr 0.429 0.965 0.735
12 Zr 0.465 0.571 0.235
13 Zr 0.535 0.429 0.765
14 Zr 0.571 0.035 0.265
15 Zr 0.613 0.777 0.971
16 Zr 0.643 0.335 0.287
17 Zr 0.665 0.143 0.787
18 Zr 0.723 0.613 0.529
19 Zr 0.777 0.887 0.529
20 Zr 0.835 0.357 0.787
21 Zr 0.857 0.165 0.287
22 Zr 0.887 0.723 0.971
23 Zr 0.929 0.465 0.265
24 Zr 0.965 0.071 0.765
25 P 0.043 0.291 0.537
26 P 0.209 0.043 0.963
27 P 0.291 0.457 0.963
28 P 0.457 0.209 0.537
29 P 0.543 0.791 0.463
30 P 0.709 0.543 0.037
31 P 0.791 0.957 0.037
32 P 0.957 0.709 0.463

The magnetic moment is 0.01 μB per cell. For the uncorrected energy, the calculation gives -8.63 eV/atom. Its space group is P4_2/n.

---

4.
# ErMgCuSeS2

A relaxed structure of ErMgCuSeS2 (GGA-PBE, OQMD via LeMat-Bulk).

Lattice parameters (Å, degrees): 6.503 6.503 10.438 90.00 90.00 146.73
Fractional positions:
1 Er 0.000 0.000 0.000
2 Er 0.000 0.000 0.500
3 Mg 0.218 0.782 0.750
4 Mg 0.782 0.218 0.250
5 Cu 0.479 0.521 0.250
6 Cu 0.521 0.479 0.750
7 Se 0.110 0.890 0.250
8 Se 0.890 0.110 0.750
9 S 0.359 0.641 0.082
10 S 0.359 0.641 0.418
11 S 0.641 0.359 0.582
12 S 0.641 0.359 0.918

The magnetic moment is 0.01 μB per cell. For the uncorrected energy, the calculation gives -4.84 eV/atom. Its space group is Cmcm.

---

5.
# TbYPt

A relaxed structure of TbYPt (GGA-PBE, OQMD via LeMat-Bulk).

Lattice parameters (Å, degrees): 7.188 4.774 8.811 90.00 90.00 90.00
Fractional positions:
1 Tb 0.144 0.250 0.081
2 Tb 0.356 0.750 0.581
3 Tb 0.644 0.250 0.419
4 Tb 0.856 0.750 0.919
5 Y 0.009 0.250 0.667
6 Y 0.491 0.750 0.167
7 Y 0.509 0.250 0.833
8 Y 0.991 0.750 0.333
9 Pt 0.243 0.250 0.406
10 Pt 0.257 0.750 0.906
11 Pt 0.743 0.250 0.094
12 Pt 0.757 0.750 0.594

The magnetic moment is 0.10 μB per cell. For the uncorrected energy, the calculation gives -6.65 eV/atom. The calculation puts the energy of formation at -0.9344 eV per atom. Its space group is Pnma.

---

6.
# Sc2Ga2Ni3Pt

A relaxed structure of Sc2Ga2Ni3Pt (GGA-PBE, OQMD via LeMat-Bulk).

Lattice parameters (Å, degrees): 4.149 4.149 8.214 90.00 90.00 120.00
Fractional positions:
1 Sc 0.000 0.000 0.000
2 Sc 0.333 0.667 0.513
3 Ga 0.667 0.333 0.237
4 Ga 0.667 0.333 0.761
5 Ni 0.000 0.000 0.681
6 Ni 0.333 0.667 0.163
7 Ni 0.333 0.667 0.838
8 Pt 0.000 0.000 0.348

The magnetic moment is 0.00 μB per cell. For the uncorrected energy, the calculation gives -5.88 eV/atom. Its space group is P3m1.

---

7.
# ZrCoBW

A relaxed structure of ZrCoBW (GGA-PBE, OQMD via LeMat-Bulk).

Lattice parameters (Å, degrees): 4.267 4.267 4.267 60.00 60.00 60.00
Fractional positions:
1 Zr 0.000 0.000 0.000
2 Co 0.750 0.750 0.750
3 B 0.500 0.500 0.500
4 W 0.250 0.250 0.250

The magnetic moment is 1.69 μB per cell. For the uncorrected energy, the calculation gives -8.06 eV/atom. Its space group is F-43m. The value obtained for the excess energy over the best structure of this formula in the dataset is 0.000 eV per atom.

---

8.
# Re2TeSe2S

A relaxed structure of Re2TeSe2S (GGA-PBE, OQMD via LeMat-Bulk).

Lattice parameters (Å, degrees): 6.723 6.881 7.095 74.84 76.38 60.87
Fractional positions:
1 Re 0.188 0.297 0.002
2 Re 0.242 0.690 0.992
3 Re 0.758 0.310 0.008
4 Re 0.812 0.703 0.998
5 Te 0.381 0.864 0.215
6 Te 0.619 0.136 0.785
7 Se 0.126 0.616 0.716
8 Se 0.387 0.347 0.239
9 Se 0.613 0.653 0.761
10 Se 0.874 0.384 0.284
11 S 0.111 0.104 0.815
12 S 0.889 0.896 0.185

The magnetic moment is 0.00 μB per cell. For the uncorrected energy, the calculation gives -6.86 eV/atom. Its space group is P-1. The value obtained for the excess energy over the best structure of this formula in the dataset is 0.023 eV per atom.

---

9.
# Ho2Lu2B3N4

A relaxed structure of Ho2Lu2B3N4 (GGA-PBE, OQMD via LeMat-Bulk).

Lattice parameters (Å, degrees): 11.535 11.535 3.445 90.06 90.06 16.53
Fractional positions:
1 Ho 0.178 0.178 0.000
2 Ho 0.822 0.822 0.000
3 Lu 0.429 0.429 0.499
4 Lu 0.571 0.571 0.501
5 B 0.000 0.000 0.000
6 B 0.268 0.268 0.500
7 B 0.732 0.732 0.500
8 N 0.065 0.065 0.001
9 N 0.334 0.334 0.500
10 N 0.666 0.666 0.500
11 N 0.935 0.935 0.999

The magnetic moment is 0.00 μB per cell. For the uncorrected energy, the calculation gives -7.74 eV/atom. Its space group is C2/m.

---

10.
# LiIrSO

A relaxed structure of LiIrSO (GGA-PBE, OQMD via LeMat-Bulk).

Lattice parameters (Å, degrees): 3.251 6.876 5.086 90.00 90.00 90.00
Fractional positions:
1 Li 0.000 0.166 0.000
2 Li 0.000 0.834 0.500
3 Ir 0.500 0.429 0.431
4 Ir 0.500 0.571 0.931
5 S 0.000 0.200 0.520
6 S 0.000 0.800 0.020
7 O 0.500 0.303 0.062
8 O 0.500 0.697 0.562

The magnetic moment is 0.01 μB per cell. For the uncorrected energy, the calculation gives -5.69 eV/atom. Its space group is Pmc2_1. The value obtained for the excess energy over the best structure of this formula in the dataset is 0.041 eV per atom.

---

11.
# TaBe2Tl

A relaxed structure of TaBe2Tl (GGA-PBE, OQMD via LeMat-Bulk).

Lattice parameters (Å, degrees): 4.484 4.484 4.484 60.00 60.00 60.00
Fractional positions:
1 Ta 0.000 0.000 0.000
2 Be 0.250 0.250 0.250
3 Be 0.500 0.500 0.500
4 Tl 0.750 0.750 0.750

The magnetic moment is 1.28 μB per cell. For the uncorrected energy, the calculation gives -4.39 eV/atom. Its space group is F-43m.

---

12.
# Re2HgGe

A relaxed structure of Re2HgGe (GGA-PBE, OQMD via LeMat-Bulk).

Lattice parameters (Å, degrees): 4.563 4.563 4.563 60.00 60.00 60.00
Fractional positions:
1 Re 0.000 0.000 0.000
2 Re 0.250 0.250 0.250
3 Hg 0.750 0.750 0.750
4 Ge 0.500 0.500 0.500

The magnetic moment is 0.02 μB per cell. For the uncorrected energy, the calculation gives -6.53 eV/atom. Its space group is F-43m.

---

13.
# Ta2Cu3Mo4N3

A relaxed structure of Ta2Cu3Mo4N3 (GGA-PBE, OQMD via LeMat-Bulk).

Lattice parameters (Å, degrees): 5.229 5.229 13.205 101.54 101.54 60.21
Fractional positions:
1 Ta 0.040 0.870 0.622
2 Ta 0.130 0.960 0.878
3 Ta 0.870 0.040 0.122
4 Ta 0.960 0.130 0.378
5 Cu 0.083 0.397 0.747
6 Cu 0.397 0.083 0.247
7 Cu 0.428 0.572 0.250
8 Cu 0.572 0.428 0.750
9 Cu 0.603 0.917 0.753
10 Cu 0.917 0.603 0.253
11 Mo 0.193 0.374 0.081
12 Mo 0.321 0.457 0.419
13 Mo 0.374 0.193 0.581
14 Mo 0.457 0.321 0.919
15 Mo 0.543 0.679 0.081
16 Mo 0.626 0.807 0.419
17 Mo 0.679 0.543 0.581
18 Mo 0.807 0.626 0.919
19 N 0.000 0.500 0.500
20 N 0.140 0.724 0.001
21 N 0.276 0.860 0.499
22 N 0.500 0.000 0.000
23 N 0.724 0.140 0.501
24 N 0.860 0.276 0.999

The magnetic moment is 0.00 μB per cell. For the uncorrected energy, the calculation gives -8.73 eV/atom. Its space group is C2/c.

---

14.
# PrYSi

A relaxed structure of PrYSi (GGA-PBE, OQMD via LeMat-Bulk).

Lattice parameters (Å, degrees): 4.965 4.965 4.965 60.00 60.00 60.00
Fractional positions:
1 Pr 0.000 0.000 0.000
2 Y 0.500 0.500 0.500
3 Si 0.250 0.250 0.250

The magnetic moment is 0.00 μB per cell. For the uncorrected energy, the calculation gives -6.01 eV/atom. Its space group is F-43m.

---

15.
# NdP2Pd8

A relaxed structure of NdP2Pd8 (GGA-PBE, OQMD via LeMat-Bulk).

Lattice parameters (Å, degrees): 6.321 6.321 9.333 125.17 125.17 37.83
Fractional positions:
1 Nd 0.000 0.000 0.000
2 P 0.439 0.439 0.209
3 P 0.561 0.561 0.791
4 Pd 0.028 0.028 0.371
5 Pd 0.263 0.263 0.905
6 Pd 0.321 0.321 0.651
7 Pd 0.340 0.340 0.357
8 Pd 0.660 0.660 0.643
9 Pd 0.679 0.679 0.349
10 Pd 0.737 0.737 0.095
11 Pd 0.972 0.972 0.629

The magnetic moment is 0.01 μB per cell. For the uncorrected energy, the calculation gives -5.82 eV/atom. Its space group is C2/m.

---

16.
# ErAlCo

A relaxed structure of ErAlCo (GGA-PBE, OQMD via LeMat-Bulk).

Lattice parameters (Å, degrees): 4.539 4.539 4.539 60.00 60.00 60.00
Fractional positions:
1 Er 0.000 0.000 0.000
2 Al 0.750 0.750 0.750
3 Co 0.250 0.250 0.250

The magnetic moment is 0.72 μB per cell. For the uncorrected energy, the calculation gives -4.46 eV/atom. Its space group is F-43m.

---

17.
# LiMg2Zn

A relaxed structure of LiMg2Zn (GGA-PBE, OQMD via LeMat-Bulk).

Lattice parameters (Å, degrees): 4.754 4.754 8.295 90.00 90.00 120.00
Fractional positions:
1 Li 0.000 0.000 0.000
2 Li 0.000 0.000 0.500
3 Mg 0.333 0.667 0.084
4 Mg 0.333 0.667 0.416
5 Mg 0.667 0.333 0.584
6 Mg 0.667 0.333 0.916
7 Zn 0.333 0.667 0.750
8 Zn 0.667 0.333 0.250

For the uncorrected energy, the calculation gives -1.51 eV/atom. Its space group is P6_3/mmc.

---

18.
# NbZnNiPt

A relaxed structure of NbZnNiPt (GGA-PBE, OQMD via LeMat-Bulk).

Lattice parameters (Å, degrees): 4.369 4.369 4.369 60.00 60.00 60.00
Fractional positions:
1 Nb 0.000 0.000 0.000
2 Zn 0.500 0.500 0.500
3 Ni 0.750 0.750 0.750
4 Pt 0.250 0.250 0.250

The magnetic moment is 0.00 μB per cell. For the uncorrected energy, the calculation gives -6.10 eV/atom. The calculation puts the energy of formation at -0.3516 eV per atom. Its space group is F-43m. The value obtained for the excess energy over the best structure of this formula in the dataset is 0.000 eV per atom.

---

19.
# K2Rb2CdAs2

A relaxed structure of K2Rb2CdAs2 (GGA-PBE, OQMD via LeMat-Bulk).

Lattice parameters (Å, degrees): 10.218 10.218 10.218 33.56 33.56 33.56
Fractional positions:
1 K 0.111 0.111 0.111
2 K 0.889 0.889 0.889
3 Rb 0.292 0.292 0.292
4 Rb 0.708 0.708 0.708
5 Cd 0.500 0.500 0.500
6 As 0.413 0.413 0.413
7 As 0.587 0.587 0.587

For the uncorrected energy, the calculation gives -2.47 eV/atom. Its space group is R-3m. The value obtained for the excess energy over the best structure of this formula in the dataset is 0.000 eV per atom.

---

20.
# Nd2Dy2CBr3Cl2

A relaxed structure of Nd2Dy2CBr3Cl2 (GGA-PBE, OQMD via LeMat-Bulk).

Lattice parameters (Å, degrees): 8.990 8.990 8.151 103.98 103.98 24.59
Fractional positions:
1 Nd 0.148 0.148 0.082
2 Nd 0.852 0.852 0.918
3 Dy 0.498 0.498 0.201
4 Dy 0.502 0.502 0.799
5 C 0.000 0.000 0.000
6 Br 0.000 0.000 0.500
7 Br 0.336 0.336 0.637
8 Br 0.664 0.664 0.363
9 Cl 0.335 0.335 0.169
10 Cl 0.665 0.665 0.831

The magnetic moment is 0.27 μB per cell. For the uncorrected energy, the calculation gives -5.20 eV/atom. Its space group is C2/m. The value obtained for the excess energy over the best structure of this formula in the dataset is 0.007 eV per atom.

---

21.
# PrPbSe2

A relaxed structure of PrPbSe2 (GGA-PBE, OQMD via LeMat-Bulk).

Lattice parameters (Å, degrees): 4.328 4.328 6.152 90.00 90.00 90.00
Fractional positions:
1 Pr 0.000 0.000 0.000
2 Pb 0.500 0.500 0.500
3 Se 0.000 0.000 0.500
4 Se 0.500 0.500 0.000

The magnetic moment is 0.00 μB per cell. For the uncorrected energy, the calculation gives -5.01 eV/atom. Its space group is P4/mmm.

---

22.
# NaGa2Pt2

A relaxed structure of NaGa2Pt2 (GGA-PBE, OQMD via LeMat-Bulk).

Lattice parameters (Å, degrees): 7.715 7.715 2.793 90.00 90.00 90.00
Fractional positions:
1 Na 0.000 0.000 0.000
2 Na 0.500 0.500 0.000
3 Ga 0.132 0.368 0.000
4 Ga 0.368 0.868 0.000
5 Ga 0.632 0.132 0.000
6 Ga 0.868 0.632 0.000
7 Pt 0.165 0.665 0.500
8 Pt 0.335 0.165 0.500
9 Pt 0.665 0.835 0.500
10 Pt 0.835 0.335 0.500

The magnetic moment is 0.01 μB per cell. For the uncorrected energy, the calculation gives -4.50 eV/atom. Its space group is P4/mbm. The value obtained for the excess energy over the best structure of this formula in the dataset is 0.000 eV per atom.